# 1
{
  "formula": "TiAl3Ge",
  "functional": "PBE",
  "state": "optimized geometry",
  "lattice_angstrom": [[-4.080, -1.300, -0.103], [1.523, -4.943, 2.051], [3.039, 3.766, 6.820]],
  "species": ["Ti", "Ti", "Al", "Al", "Al", "Al", "Al", "Al", "Ge", "Ge"],
  "fractional_positions": [[0.327, 0.750, 0.078], [0.673, 0.250, 0.922], [0.002, 0.991, 0.257], [0.998, 0.491, 0.743], [0.998, 0.009, 0.743], [0.002, 0.509, 0.257], [0.390, 0.250, 0.143], [0.610, 0.750, 0.857], [0.320, 0.250, 0.560], [0.680, 0.750, 0.440]],
  "space_group": "P2_1/m (11)"
}



# 2
{
  "formula": "Ti2AlGe3",
  "functional": "PBE",
  "state": "optimized geometry",
  "lattice_angstrom": [[-3.062, -5.087, 4.191], [5.907, 3.127, -2.855], [0.202, 2.280, 2.916]],
  "species": ["Ti", "Ti", "Al", "Ge", "Ge", "Ge"],
  "fractional_positions": [[0.901, 0.099, 0.000], [0.099, 0.901, 0.500], [0.751, 0.249, 0.500], [0.249, 0.751, 0.000], [0.567, 0.433, 0.000], [0.433, 0.567, 0.500]],
  "space_group": "Amm2 (38)"
}



# 3
{
  "formula": "Ti2Al3Ge",
  "functional": "PBE",
  "state": "optimized geometry",
  "lattice_angstrom": [[3.670, 0.000, 0.000], [-1.835, 8.489, -0.168], [0.000, -4.197, 6.838]],
  "species": ["Ti", "Ti", "Ti", "Ti", "Al", "Al", "Al", "Al", "Al", "Al", "Ge", "Ge"],
  "fractional_positions": [[0.505, 0.009, 0.799], [0.495, 0.991, 0.201], [0.703, 0.407, 0.175], [0.297, 0.593, 0.825], [0.307, 0.614, 0.494], [0.916, 0.832, 0.466], [0.673, 0.347, 0.820], [0.327, 0.653, 0.180], [0.084, 0.168, 0.534], [0.693, 0.386, 0.506], [0.912, 0.824, 0.871], [0.088, 0.176, 0.129]],
  "space_group": "C2/m (12)"
}



| no. | electronic total energy (eV per formula unit) |
| --- | --- |
| 1 | -24.5 |
| 2 | -36.2 |
| 3 | -32.6 |